No. 1
Density functional theory data (PBE-GGA) for FeAsWAu after structural relaxation.

## Properties
The calculation puts the energy above the most stable polymorph in this dataset at 303.3 meV/atom. As for the total magnetic moment: 0.37 Bohr magnetons per cell. The value obtained for the density is 13.123 g/cm³. As for the symmetry: F-43m. The calculation puts the total DFT energy (no corrections) at -6.55 eV/atom.

a = 4.5070 Å, b = 4.5070 Å, c = 4.5070 Å
α = 60.00°, β = 60.00°, γ = 60.00°
Closest atoms and distances in Å follow each position.
Sites, in units of the cell vectors:
Fe (0.0000, 0.0000, 0.0000)  4 As 2.76, 4 W 2.76
As (0.7500, 0.7500, 0.7500)  4 Au 2.76, 4 Fe 2.76
W (0.2500, 0.2500, 0.2500)  4 Fe 2.76, 4 Au 2.76
Au (0.5000, 0.5000, 0.5000)  4 As 2.76, 4 W 2.76

=====

No. 2
Density functional theory data (PBE-GGA) for RbNa3As2Pd2 after structural relaxation.

## Properties
The value obtained for the density is 4.511 g/cm³. As for the symmetry: Pm. The calculation puts the total DFT energy (no corrections) at -3.43 eV/atom.

a = 5.7344 Å, b = 5.6713 Å, c = 6.0434 Å
α = 90.00°, β = 104.40°, γ = 90.00°
Closest atoms and distances in Å follow each position.
Sites, in units of the cell vectors:
Rb (0.0000, 0.0000, 0.0000)  4 As 3.21-3.45, 4 Pd 3.31-3.52, 3 Na 3.34-3.50
Na (0.2914, 0.5000, 0.3248)  4 As 2.98-3.24, 2 Pd 3.14, 1 Na 3.21
Na (0.6349, 0.0000, 0.3524)  4 As 3.03-3.24, 1 Rb 3.34
Na (0.9261, 0.5000, 0.6505)  4 As 3.14-3.37, 1 Na 3.21, 4 Pd 3.28-3.32, 2 Rb 3.50
As (0.1968, 0.0000, 0.5467)  2 Pd 2.42
As (0.7127, 0.5000, 0.1197)  2 Pd 2.46
Pd (0.4708, 0.2597, 0.8060)  2 As 2.42-2.46
Pd (0.4708, 0.7403, 0.8060)  2 As 2.42-2.46

=====

No. 3
Density functional theory data (PBE-GGA) for RbSnHg3S4 after structural relaxation.

## Properties
The calculation puts the energy above the most stable polymorph in this dataset at 110.1 meV/atom. The value obtained for the density is 4.532 g/cm³. As for the symmetry: P-43m. The calculation puts the total DFT energy (no corrections) at -2.67 eV/atom.

a = 6.9952 Å, b = 6.9952 Å, c = 6.9952 Å
α = 90.00°, β = 90.00°, γ = 90.00°
Closest atoms and distances in Å follow each position.
Sites, in units of the cell vectors:
Rb (0.0000, 0.0000, 0.0000)  4 S 3.63
Sn (0.5000, 0.5000, 0.5000)  4 S 2.43
Hg (0.0000, 0.5000, 0.5000)  4 S 2.88
Hg (0.5000, 0.0000, 0.5000)  4 S 2.88
Hg (0.5000, 0.5000, 0.0000)  4 S 2.88
S (0.2998, 0.2998, 0.2998)  1 Sn 2.43
S (0.2998, 0.7002, 0.7002)  1 Sn 2.43
S (0.7002, 0.2998, 0.7002)  1 Sn 2.43
S (0.7002, 0.7002, 0.2998)  1 Sn 2.43

=====

No. 4
Density functional theory data (PBE-GGA) for Y2ReO5 after structural relaxation.

## Properties
As for the total magnetic moment: 0.00 Bohr magnetons per cell. The value obtained for the density is 7.027 g/cm³. As for the symmetry: I4/m. The calculation puts the total DFT energy (no corrections) at -9.05 eV/atom.

a = 6.7090 Å, b = 6.7090 Å, c = 6.7090 Å
α = 100.32°, β = 100.32°, γ = 129.91°
Closest atoms and distances in Å follow each position.
Sites, in units of the cell vectors:
Y (0.1018, 0.3214, 0.4232)  8 O 2.27-2.48
Y (0.3214, 0.8982, 0.2196)  8 O 2.27-2.48
Y (0.6786, 0.1018, 0.7804)  8 O 2.27-2.48
Y (0.8982, 0.6786, 0.5768)  8 O 2.27-2.48
Re (0.3058, 0.3058, 0.0000)  4 O 1.93
Re (0.6942, 0.6942, 0.0000)  4 O 1.93
O (0.0443, 0.1408, 0.7035)  1 Re 1.93
O (0.1408, 0.4373, 0.0965)  1 Re 1.93
O (0.2500, 0.7500, 0.5000)  4 Y 2.27
O (0.3408, 0.0443, 0.9035)  1 Re 1.93
O (0.4373, 0.3408, 0.2965)  1 Re 1.93
O (0.5627, 0.6592, 0.7035)  1 Re 1.93
O (0.6592, 0.9557, 0.0965)  1 Re 1.93
O (0.7500, 0.2500, 0.5000)  4 Y 2.27
O (0.8592, 0.5627, 0.9035)  1 Re 1.93
O (0.9557, 0.8592, 0.2965)  1 Re 1.93